Below is a PBEsol-optimized structure of ZnMoBr, with properties calculated at the SCAN level.

Cell lengths 4.307, 4.307, 4.307 Å; angles 60.00, 60.00, 60.00 degrees
Fractional coordinates of all 3 atoms:
Zn 0.000 0.000 0.000
Mo 0.250 0.250 0.250
Br 0.500 0.500 0.500

## Properties
D(E_F) ... 0.794 states/eV per atom
DFT total energy ... -21.550 eV/atom
Total magnetic moment ... 2.93 μB per formula unit
Energy relative to the elements, uncorrected ... 1070 meV/atom
ρ ... 7.09 g/cm3